1.
An optimized crystal structure of U2Co3O8. Source: Alexandria, functional PBE with a Hubbard U.

Lattice parameters (Å, degrees): 6.772 6.305 10.462 90.00 90.00 90.00
Space group Pmn2_1 (No. 31)
One atom of each set of equivalent atoms:
U1 0.000 0.039 0.000 [2 per cell]
U2 0.000 0.787 0.431 [2 per cell]
Co1 0.000 0.495 0.118 [2 per cell]
Co2 0.196 0.898 0.704 [4 per cell]
O1 0.000 0.009 0.194 [2 per cell]
O2 0.000 0.013 0.566 [2 per cell]
O3 0.000 0.563 0.303 [2 per cell]
O4 0.000 0.725 0.000 [2 per cell]
O5 0.220 0.058 0.858 [4 per cell]
O6 0.229 0.306 0.062 [4 per cell]



2.
An optimized crystal structure of U2Co3O8. Source: Alexandria, functional PBE with a Hubbard U.

Lattice parameters (Å, degrees): 5.156 10.398 6.146 90.00 90.00 90.00
Space group Pnnm (No. 58)
One atom of each set of equivalent atoms:
U1 0.044 0.234 0.000 [4 per cell]
Co1 0.000 0.000 0.500 [2 per cell]
Co2 0.000 0.500 0.262 [4 per cell]
O1 0.180 0.597 0.000 [4 per cell]
O2 0.202 0.588 0.500 [4 per cell]
O3 0.204 0.849 0.267 [8 per cell]



Relative energies, eV/atom: 1 0.220; 2 0.000.



1.
An optimized crystal structure of VCo3O. Source: Alexandria, functional PBE with a Hubbard U.

Lattice parameters (Å, degrees): 4.384 4.384 4.384 90.00 90.00 90.00
Space group Pm-3m (No. 221)
One atom of each set of equivalent atoms:
V1 0.000 0.000 0.000 [1 per cell]
Co1 0.000 0.000 0.500 [3 per cell]
O1 0.500 0.500 0.500 [1 per cell]



2.
An optimized crystal structure of VCo3O. Source: Alexandria, functional PBE with a Hubbard U.

Lattice parameters (Å, degrees): 3.920 3.920 3.920 90.00 90.00 90.00
Space group Pm-3m (No. 221)
One atom of each set of equivalent atoms:
V1 0.000 0.000 0.000 [1 per cell]
Co1 0.000 0.500 0.500 [3 per cell]
O1 0.500 0.500 0.500 [1 per cell]



Relative energies, eV/atom: 1 1.508; 2 0.000.